1.
VASP calculation (PBE-GGA) on an optimized crystal structure of Na3Ge2Se4.

a b c (Å): 15.0441 8.0081 8.2133
angles (deg): 90.00 90.87 90.00
Space group C2/c (No. 15)
One atom of each set of equivalent atoms:
Na: 0.0000 0.0060 0.2500 (multiplicity 4)
Na: 0.1186 0.4197 0.8330 (multiplicity 8)
Ge: 0.1893 0.1427 0.5243 (multiplicity 8)
Se: 0.0472 0.2708 0.4978 (multiplicity 8)
Se: 0.2201 0.0835 0.8295 (multiplicity 8)

Results
The energy relative to the lowest polymorph listed for this composition is 0.000 eV per atom. The total moment is 0.0000 μB per atom. For the mass density, the calculation gives 3.56 g cm⁻³. The energy relative to the elements, uncorrected is -0.675 eV per atom.

2.
VASP calculation (PBE-GGA) on an optimized crystal structure of Na6Ge2Se7.

a b c (Å): 9.5342 11.0682 16.0365
angles (deg): 90.00 104.18 90.00
Space group C2/c (No. 15)
One atom of each set of equivalent atoms:
Na: 0.0000 0.0000 0.0000 (multiplicity 4)
Na: 0.0000 0.0802 0.2500 (multiplicity 4)
Na: 0.1165 0.3532 0.5717 (multiplicity 8)
Na: 0.2317 0.2229 0.8588 (multiplicity 8)
Ge: 0.1583 0.4178 0.3604 (multiplicity 8)
Se: 0.0000 0.4603 0.7500 (multiplicity 4)
Se: 0.0513 0.2385 0.3960 (multiplicity 8)
Se: 0.1240 0.1283 0.6800 (multiplicity 8)
Se: 0.1969 0.4330 0.9714 (multiplicity 8)

Results
The total moment is 0.0000 μB per atom. For the mass density, the calculation gives 3.38 g cm⁻³. The energy relative to the elements, uncorrected is -0.849 eV per atom.

3.
VASP calculation (PBE-GGA) on an optimized crystal structure of Na5Ge2Se5.

a b c (Å): 13.3747 4.3685 11.5501
angles (deg): 90.00 109.87 90.00
Space group C2/m (No. 12)
One atom of each set of equivalent atoms:
Na: 0.0000 0.0000 0.0000 (multiplicity 2)
Na: 0.1551 0.0000 0.5459 (multiplicity 4)
Na: 0.2374 0.0000 0.8591 (multiplicity 4)
Ge: 0.0531 0.5000 0.2953 (multiplicity 4)
Se: 0.0000 0.5000 0.5000 (multiplicity 2)
Se: 0.1030 0.5000 0.8928 (multiplicity 4)
Se: 0.1639 0.0000 0.2894 (multiplicity 4)

Results
The total moment is 0.0000 μB per atom. For the mass density, the calculation gives 3.43 g cm⁻³. The energy relative to the elements, uncorrected is -0.748 eV per atom.

4.
VASP calculation (PBE-GGA) on an optimized crystal structure of Na2SiGeSe4.

a b c (Å): 9.5155 7.7701 6.1883
angles (deg): 90.00 90.00 90.00
Space group Pmn2_1 (No. 31)
One atom of each set of equivalent atoms:
Na: 0.2488 0.1730 0.0000 (multiplicity 4)
Si: 0.0000 0.3467 0.5582 (multiplicity 2)
Ge: 0.0000 0.6867 0.0253 (multiplicity 2)
Se: 0.0000 0.3762 0.9328 (multiplicity 2)
Se: 0.0000 0.6294 0.4329 (multiplicity 2)
Se: 0.2043 0.2050 0.4780 (multiplicity 4)

Results
The total moment is 0.0000 μB per atom. For the mass density, the calculation gives 3.36 g cm⁻³. The energy relative to the elements, uncorrected is -0.669 eV per atom.

5.
VASP calculation (PBE-GGA) on an optimized crystal structure of Na6Sm4Ge4Se17.

a b c (Å): 22.8845 11.1874 6.9789
angles (deg): 90.00 103.15 90.00
Space group C2 (No. 5)
One atom of each set of equivalent atoms:
Na: 0.0061 0.0000 0.2404 (multiplicity 4)
Na: 0.0949 0.6824 0.8407 (multiplicity 4)
Na: 0.0965 0.6871 0.2982 (multiplicity 4)
Sm: 0.1828 0.3202 0.9110 (multiplicity 4)
Sm: 0.1926 0.0439 0.4245 (multiplicity 4)
Ge: 0.1462 0.3770 0.3753 (multiplicity 4)
Ge: 0.1527 0.9775 0.8897 (multiplicity 4)
Se: 0.0000 0.7843 0.0000 (multiplicity 2)
Se: 0.0900 0.4483 0.0723 (multiplicity 4)
Se: 0.0981 0.9002 0.5794 (multiplicity 4)
Se: 0.1018 0.1219 0.0407 (multiplicity 4)
Se: 0.1026 0.2256 0.5358 (multiplicity 4)
Se: 0.1751 0.5299 0.6212 (multiplicity 4)
Se: 0.1879 0.8344 0.1426 (multiplicity 4)
Se: 0.2395 0.2882 0.3441 (multiplicity 4)
Se: 0.2416 0.0785 0.8562 (multiplicity 4)

Results
The total moment is 0.0000 μB per atom. For the mass density, the calculation gives 4.53 g cm⁻³. The energy relative to the elements, uncorrected is -1.062 eV per atom.

6.
VASP calculation (PBE-GGA) on an optimized crystal structure of Na9SmGe4Se12.

a b c (Å): 14.2627 12.4454 7.9934
angles (deg): 90.00 105.36 90.00
Space group C2 (No. 5)
One atom of each set of equivalent atoms:
Na: 0.0000 0.0000 0.0000 (multiplicity 2)
Na: 0.0000 0.1328 0.5000 (multiplicity 2)
Na: 0.0000 0.4894 0.5000 (multiplicity 2)
Na: 0.2426 0.1578 0.2467 (multiplicity 4)
Na: 0.2448 0.3175 0.7414 (multiplicity 4)
Na: 0.2452 0.9602 0.7447 (multiplicity 4)
Sm: 0.0000 0.6343 0.0000 (multiplicity 2)
Ge: 0.0274 0.3081 0.8664 (multiplicity 4)
Ge: 0.0310 0.8133 0.3690 (multiplicity 4)
Se: 0.1111 0.8030 0.8735 (multiplicity 4)
Se: 0.1132 0.3140 0.3702 (multiplicity 4)
Se: 0.1226 0.4735 0.8862 (multiplicity 4)
Se: 0.1242 0.6526 0.3617 (multiplicity 4)
Se: 0.1254 0.9697 0.3745 (multiplicity 4)
Se: 0.1299 0.1572 0.8728 (multiplicity 4)

Results
The total moment is 0.0000 μB per atom. For the mass density, the calculation gives 3.87 g cm⁻³. The energy relative to the elements, uncorrected is -0.951 eV per atom.

7.
VASP calculation (PBE-GGA) on an optimized crystal structure of Na3Sm3GeSe8.

a b c (Å): 8.2913 8.2913 21.2669
angles (deg): 90.00 90.00 120.00
Space group R-3m (No. 166, hexagonal axes)
One atom of each set of equivalent atoms:
Na: 0.0000 0.5000 0.0000 (multiplicity 9)
Sm: 0.0000 0.5000 0.5000 (multiplicity 9)
Ge: 0.0000 0.0000 0.5000 (multiplicity 3)
Se: 0.0000 0.0000 0.2446 (multiplicity 6)
Se: 0.0308 0.5154 0.2392 (multiplicity 18)

Results
The total moment is 0.0000 μB per atom. For the mass density, the calculation gives 4.82 g cm⁻³. The energy relative to the elements, uncorrected is -1.319 eV per atom.

8.
VASP calculation (PBE-GGA) on an optimized crystal structure of Na2SmGeSe4.

a b c (Å): 8.0770 8.4762 11.7734
angles (deg): 90.00 90.00 90.00
Space group Imma (No. 74)
One atom of each set of equivalent atoms:
Na: 0.0000 0.0000 0.0000 (multiplicity 4)
Na: 0.2500 0.2500 0.2500 (multiplicity 4)
Sm: 0.0000 0.0000 0.5000 (multiplicity 4)
Ge: 0.2500 0.2500 0.7500 (multiplicity 4)
Se: 0.0000 0.0265 0.7483 (multiplicity 8)
Se: 0.2471 0.2500 0.5138 (multiplicity 8)

Results
The total moment is 0.0000 μB per atom. For the mass density, the calculation gives 4.82 g cm⁻³. The energy relative to the elements, uncorrected is -1.075 eV per atom.